LaY3Ru | PBE | optimized geometry

Cell: 7.2159 6.3008 7.2894 Å, 103.57 68.14 101.30°
Fractional coordinates of all 10 atoms:
La  0.9068  0.8563  0.6665
La  0.1098  0.3673  0.5917
Y  0.1860  0.3866  0.0741
Y  0.3918  0.8657  0.7311
Y  0.8307  0.8371  0.1842
Y  0.6760  0.3004  0.0032
Y  0.6249  0.3579  0.5271
Y  0.3406  0.9233  0.2550
Ru  0.4426  0.5659  0.3499
Ru  0.5741  0.6578  0.9083

Computed properties:
theoretical density	5.669	g/cm³
energy relative to the elements	-15.7	kJ/mol of atoms
M_tot	0.00	Bohr magnetons per cell
offset from the most stable computed form	0.0232	eV per atom
symmetry	P-1 (2)